No. 1
Computed, not measured: a relaxed structure of Ce3Pm2PrSe6 at the PBE level of DFT.

Cell: 7.2865 7.2865 7.3156 Å, 99.56 99.56 120.04°
Last column: nearest neighbours and their distance in Å.
Element x y z (fractional)
Ce 0.0000 0.0000 0.0000  6 Se 2.96-2.98
Ce 0.3348 0.6652 0.0000  6 Se 2.97-2.98
Ce 0.6652 0.3348 0.0000  6 Se 2.97-2.98
Pm 0.1668 0.8332 0.5000  6 Se 2.97
Pm 0.8332 0.1668 0.5000  6 Se 2.97
Pr 0.5000 0.5000 0.5000  6 Se 3.00
Se 0.0795 0.4161 0.2486  3 Ce 2.97-2.98, 2 Pm 2.97, 1 Pr 3.00
Se 0.2466 0.2466 0.7499  3 Ce 2.96-2.98, 2 Pm 2.97, 1 Pr 3.00
Se 0.4161 0.0795 0.2486  3 Ce 2.97-2.98, 2 Pm 2.97, 1 Pr 3.00
Se 0.5839 0.9205 0.7514  3 Ce 2.97-2.98, 2 Pm 2.97, 1 Pr 3.00
Se 0.7534 0.7534 0.2501  3 Ce 2.96-2.98, 2 Pm 2.97, 1 Pr 3.00
Se 0.9205 0.5839 0.7514  3 Ce 2.97-2.98, 2 Pm 2.97, 1 Pr 3.00

Calculated values
crystal system	monoclinic
formation energy (no corrections)	-1.84	eV per atom

=====

No. 2
Computed, not measured: a relaxed structure of LaRe at the PBE level of DFT.

Cell: 5.2019 5.2019 9.4532 Å, 107.56 107.56 36.03°
Last column: nearest neighbours and their distance in Å.
Element x y z (fractional)
La 0.0000 0.0000 0.0000  5 La 3.06-3.22, 5 Re 3.10-3.30
La 0.3204 0.3204 0.1637  5 La 3.06-3.22
La 0.6453 0.6453 0.4446  5 Re 3.10-3.25, 3 La 3.22-3.46
Re 0.3205 0.3205 0.7230  4 Re 2.63-2.65
Re 0.6546 0.6546 0.8174  4 Re 2.59-2.65
Re 0.9843 0.9843 0.6294  4 Re 2.59-2.63

Calculated values
crystal system	monoclinic

=====

No. 3
Computed, not measured: a relaxed structure of HoNi4Sn4 at the PBE level of DFT.

Cell: 8.4144 8.4144 5.1222 Å, 90.00 90.00 90.00°
Last column: nearest neighbours and their distance in Å.
Element x y z (fractional)
Ho 0.2500 0.2500 0.2500  4 Ni 2.85
Ho 0.7500 0.7500 0.7500  4 Ni 2.85
Ni 0.0501 0.6047 0.6509  1 Ni 2.49, 5 Sn 2.57-2.64
Ni 0.1047 0.9499 0.1509  1 Ni 2.49, 5 Sn 2.57-2.64
Ni 0.3953 0.5501 0.1509  1 Ni 2.49, 5 Sn 2.57-2.64
Ni 0.4499 0.8953 0.6509  1 Ni 2.49, 5 Sn 2.57-2.64
Ni 0.5501 0.1047 0.3491  1 Ni 2.49, 5 Sn 2.57-2.64
Ni 0.6047 0.4499 0.8491  1 Ni 2.49, 5 Sn 2.57-2.64
Ni 0.8953 0.0501 0.8491  1 Ni 2.49, 5 Sn 2.57-2.64
Ni 0.9499 0.3953 0.3491  1 Ni 2.49, 5 Sn 2.57-2.64
Sn 0.0940 0.6373 0.1532  5 Ni 2.57-2.64
Sn 0.1373 0.9060 0.6532  5 Ni 2.57-2.64
Sn 0.3627 0.5940 0.6532  5 Ni 2.57-2.64
Sn 0.4060 0.8627 0.1532  5 Ni 2.57-2.64
Sn 0.5940 0.1373 0.8468  5 Ni 2.57-2.64
Sn 0.6373 0.4060 0.3468  5 Ni 2.57-2.64
Sn 0.8627 0.0940 0.3468  5 Ni 2.57-2.64
Sn 0.9060 0.3627 0.8468  5 Ni 2.57-2.64

Calculated values
crystal system	tetragonal

=====

No. 4
Computed, not measured: a relaxed structure of DyHoTePb at the PBE level of DFT.

Cell: 7.6414 7.6414 7.6414 Å, 33.56 33.56 33.56°
Last column: nearest neighbours and their distance in Å.
Element x y z (fractional)
Dy 0.0000 0.0000 0.0000  3 Pb 3.08, 3 Te 3.17
Ho 0.4930 0.4930 0.4930  3 Pb 3.07, 3 Te 3.16
Te 0.2461 0.2461 0.2461  3 Ho 3.16, 3 Dy 3.17
Pb 0.7469 0.7469 0.7469  3 Ho 3.07, 3 Dy 3.08

Calculated values
crystal system	trigonal
formation energy (no corrections)	-0.92	eV per atom

=====

No. 5
Computed, not measured: a relaxed structure of SrBe4Os3O12 at the PBE level of DFT.

Cell: 6.3676 6.3676 6.3676 Å, 107.56 107.56 107.56°
Last column: nearest neighbours and their distance in Å.
Element x y z (fractional)
Sr 0.0000 0.0000 0.0000  6 O 2.56
Be 0.0882 0.5000 0.9118  3 O 1.55-1.57
Be 0.5000 0.5000 0.5000  3 O 1.53
Be 0.5000 0.9118 0.0882  3 O 1.55-1.57
Be 0.9118 0.0882 0.5000  3 O 1.55-1.57
Os 0.0000 0.5799 0.4201  6 O 1.94-2.04
Os 0.4201 0.0000 0.5799  6 O 1.94-2.04
Os 0.5799 0.4201 0.0000  6 O 1.94-2.04
O 0.0653 0.6449 0.7561  1 Be 1.55
O 0.0647 0.9353 0.5000  1 Be 1.57
O 0.2439 0.3551 0.9347  1 Be 1.55
O 0.3511 0.6489 0.5000  1 Be 1.53
O 0.3551 0.9347 0.2439  1 Be 1.55
O 0.5000 0.0647 0.9353  1 Be 1.57
O 0.5000 0.3511 0.6489  1 Be 1.53
O 0.6449 0.7561 0.0653  1 Be 1.55
O 0.6489 0.5000 0.3511  1 Be 1.53
O 0.7561 0.0653 0.6449  1 Be 1.55
O 0.9347 0.2439 0.3551  1 Be 1.55
O 0.9353 0.5000 0.0647  1 Be 1.57

Calculated values
crystal system	trigonal
formation energy (no corrections)	-1.70	eV per atom

=====

No. 6
Computed, not measured: a relaxed structure of BaZnP2O8 at the PBE level of DFT.

Cell: 5.3029 5.3029 7.5200 Å, 90.00 90.00 120.00°
Last column: nearest neighbours and their distance in Å.
Element x y z (fractional)
Ba 0.0000 0.0000 0.0000  12 O 2.90-3.09
Zn 0.0000 0.0000 0.5000  6 O 2.08
P 0.3333 0.6667 0.7379  4 O 1.54-1.56
P 0.6667 0.3333 0.2621  4 O 1.54-1.56
O 0.1719 0.8258 0.6775  1 P 1.54
O 0.1742 0.3461 0.6775  1 P 1.54
O 0.3333 0.6667 0.9447  1 P 1.56
O 0.3461 0.1719 0.3225  1 P 1.54
O 0.6539 0.8281 0.6775  1 P 1.54
O 0.6667 0.3333 0.0553  1 P 1.56
O 0.8258 0.6539 0.3225  1 P 1.54
O 0.8281 0.1742 0.3225  1 P 1.54

Calculated values
crystal system	trigonal
formation energy (no corrections)	-2.02	eV per atom

=====

No. 7
Computed, not measured: a relaxed structure of ScCdSb2 at the PBE level of DFT.

Cell: 6.5490 6.5490 6.5490 Å, 104.36 104.36 120.26°
Last column: nearest neighbours and their distance in Å.
Element x y z (fractional)
Sc 0.0000 0.0000 0.0000  4 Sb 2.96, 2 Cd 3.26
Sc 0.7500 0.2500 0.5000  4 Sb 2.96, 2 Cd 3.26
Cd 0.2500 0.7500 0.5000  4 Sb 2.95, 2 Sc 3.26
Cd 0.5000 0.5000 0.0000  4 Sb 2.95, 2 Sc 3.26
Sb 0.1258 0.1250 0.5008  2 Cd 2.95, 2 Sc 2.96, 2 Sb 3.26
Sb 0.3750 0.8742 0.9992  2 Cd 2.95, 2 Sc 2.96, 2 Sb 3.26
Sb 0.6242 0.6250 0.4992  2 Cd 2.95, 2 Sc 2.96, 2 Sb 3.26
Sb 0.8750 0.3758 0.0008  2 Cd 2.95, 2 Sc 2.96, 2 Sb 3.26

Calculated values
crystal system	tetragonal
formation energy (no corrections)	-0.21	eV per atom

=====

No. 8
Computed, not measured: a relaxed structure of CdTcRh at the PBE level of DFT.

Cell: 6.3448 6.3448 6.3448 Å, 154.12 154.12 36.93°
Last column: nearest neighbours and their distance in Å.
Element x y z (fractional)
Cd 0.0000 0.0000 0.0000  4 Cd 2.84, 4 Rh 2.94, 4 Tc 2.99
Tc 0.6839 0.6839 0.0000  4 Rh 2.60, 4 Tc 2.84
Rh 0.3212 0.3212 0.0000  4 Tc 2.60, 4 Rh 2.84

Calculated values
crystal system	tetragonal

=====

Number 1: uncorrected energy -6.252 eV per atom, V 26.43 Å³/atom. Number 2: uncorrected energy -8.341 eV per atom, V 23.78 Å³/atom. Number 3: uncorrected energy -5.029 eV per atom, V 20.15 Å³/atom. Number 4: uncorrected energy -4.925 eV per atom, V 30.36 Å³/atom. Number 5: uncorrected energy -7.193 eV per atom, V 10.58 Å³/atom. Number 6: uncorrected energy -6.490 eV per atom, V 15.26 Å³/atom. Number 7: uncorrected energy -4.086 eV per atom, V 26.30 Å³/atom. Number 8: uncorrected energy -6.148 eV per atom, V 16.20 Å³/atom.